Density functional theory data (PBE) for an optimized crystal structure of Tb2CeUAs4.

## Properties
Calculated total energy = -0.510 Ry per atom

```
8
Lattice="7.165 0.000 0.000 0.000 4.129 0.000 -2.380 0.000 6.801" Properties=species:S:1:pos:R:3 pbc="T T T"
Tb 0.000 0.000 0.000
Tb 3.583 2.064 0.000
Ce -1.190 2.064 3.401
U 2.393 0.000 3.401
As 0.041 0.000 5.102
As 1.227 2.064 1.710
As 4.744 0.000 1.699
As 3.558 2.064 5.091
```